[1]
A relaxed YNbF3 crystal, computed with PBE.

ΔE_f (raw) = -934 kJ/mol of formula units
energy above the most stable polymorph in this dataset = 0 meV/atom
magnetization = 4.80 μB/cell
calculated volume = 18.2 A^3/atom
raw total energy = -6.365 eV per atom

Unit cell a=4.4978 b=4.4978 c=4.4978 alpha=90.00 beta=90.00 gamma=90.00
With the nearest neighbours (Å) after each atom.
Space group Pm-3m (No. 221)
Asymmetric unit:
Y 0.0000 0.0000 0.0000 x1  6 F 2.25
Nb 0.5000 0.5000 0.5000 x1  12 F 3.18
F 0.0000 0.0000 0.5000 x3  2 Y 2.25

[2]
A relaxed YNbF3 crystal, computed with PBE.

ΔE_f (raw) = -754 kJ/mol of formula units
energy above the most stable polymorph in this dataset = 373 meV/atom
magnetization = 4.53 μB/cell
calculated volume = 17.5 A^3/atom
raw total energy = -5.992 eV per atom

Unit cell a=4.4363 b=4.4363 c=4.4363 alpha=90.00 beta=90.00 gamma=90.00
With the nearest neighbours (Å) after each atom.
Space group Pm-3m (No. 221)
Asymmetric unit:
Y 0.0000 0.0000 0.0000 x1  12 F 3.14
Nb 0.5000 0.5000 0.5000 x1  6 F 2.22
F 0.0000 0.5000 0.5000 x3  2 Nb 2.22

[3]
A relaxed Y2NbF crystal, computed with PBE.

ΔE_f (raw) = -28 kJ/mol of formula units
energy above the most stable polymorph in this dataset = 634 meV/atom
magnetization = 5.69 μB/cell
calculated volume = 22.9 A^3/atom
raw total energy = -6.290 eV per atom

Unit cell a=7.1510 b=7.1510 c=7.1510 alpha=90.00 beta=90.00 gamma=90.00
With the nearest neighbours (Å) after each atom.
Space group Fm-3m (No. 225)
Asymmetric unit:
Y 0.2500 0.2500 0.2500 x8  4 F 3.10, 4 Nb 3.10
Nb 0.0000 0.0000 0.0000 x4  8 Y 3.10
F 0.0000 0.0000 0.5000 x4  8 Y 3.10

[4]
A relaxed Y2NbF crystal, computed with PBE.

ΔE_f (raw) = -273 kJ/mol of formula units
energy above the most stable polymorph in this dataset = 0 meV/atom
magnetization = 7.10 μB/cell
calculated volume = 23.2 A^3/atom
raw total energy = -6.924 eV per atom

Unit cell a=7.0495 b=7.0495 c=7.4655 alpha=90.00 beta=90.00 gamma=90.00
With the nearest neighbours (Å) after each atom.
Space group I-42d (No. 122)
Asymmetric unit:
Y 0.1616 0.2500 0.1250 x8  2 F 2.30
Nb 0.0000 0.0000 0.5000 x4  4 Y 3.11
F 0.0000 0.0000 0.0000 x4  4 Y 2.30

[5]
A relaxed NbZnF3 crystal, computed with PBE.

ΔE_f (raw) = -848 kJ/mol of formula units
energy above the most stable polymorph in this dataset = 0 meV/atom
magnetization = 2.00 μB/cell
calculated volume = 15.8 A^3/atom
raw total energy = -5.150 eV per atom

Unit cell a=4.2882 b=4.2882 c=4.2882 alpha=90.00 beta=90.00 gamma=90.00
With the nearest neighbours (Å) after each atom.
Space group Pm-3m (No. 221)
Asymmetric unit:
Nb 0.0000 0.0000 0.0000 x1  6 F 2.14
Zn 0.5000 0.5000 0.5000 x1  12 F 3.03
F 0.0000 0.0000 0.5000 x3  2 Nb 2.14

[6]
A relaxed Nb2ZnF crystal, computed with PBE.

ΔE_f (raw) = -31 kJ/mol of formula units
energy above the most stable polymorph in this dataset = 0 meV/atom
magnetization = 0.00 μB/cell
calculated volume = 15.1 A^3/atom
raw total energy = -5.901 eV per atom

Unit cell a=6.2315 b=6.2315 c=6.2315 alpha=90.00 beta=90.00 gamma=90.00
With the nearest neighbours (Å) after each atom.
Space group Fm-3m (No. 225)
Asymmetric unit:
Nb 0.2500 0.2500 0.2500 x8  4 F 2.70, 4 Zn 2.70
Zn 0.0000 0.0000 0.0000 x4  8 Nb 2.70
F 0.0000 0.0000 0.5000 x4  8 Nb 2.70

[7]
A relaxed NbZnF6 crystal, computed with PBE.

ΔE_f (raw) = -2048 kJ/mol of formula units
magnetization = 1.00 μB/cell
calculated volume = 13.7 A^3/atom
raw total energy = -5.475 eV per atom

Unit cell a=5.0803 b=5.0803 c=4.8923 alpha=90.00 beta=90.00 gamma=120.00
With the nearest neighbours (Å) after each atom.
Space group P312 (No. 149)
Asymmetric unit:
Nb 0.0000 0.0000 0.0000 x1  6 F 2.02
Zn 0.3333 0.6667 0.5000 x1  6 F 2.07
F 0.0203 0.3267 0.2485 x6  1 Nb 2.02, 1 Zn 2.07

[8]
A relaxed NbZn3F crystal, computed with PBE.

ΔE_f (raw) = -30 kJ/mol of formula units
energy above the most stable polymorph in this dataset = 0 meV/atom
magnetization = 1.08 μB/cell
calculated volume = 15.7 A^3/atom
raw total energy = -3.214 eV per atom

Unit cell a=4.2822 b=4.2822 c=4.2822 alpha=90.00 beta=90.00 gamma=90.00
With the nearest neighbours (Å) after each atom.
Space group Pm-3m (No. 221)
Asymmetric unit:
Nb 0.0000 0.0000 0.0000 x1  12 Zn 3.03
Zn 0.0000 0.5000 0.5000 x3  2 F 2.14
F 0.5000 0.5000 0.5000 x1  6 Zn 2.14

[9]
A relaxed NbZn3F crystal, computed with PBE.

ΔE_f (raw) = 360 kJ/mol of formula units
energy above the most stable polymorph in this dataset = 808 meV/atom
magnetization = 3.93 μB/cell
calculated volume = 29.5 A^3/atom
raw total energy = -2.407 eV per atom

Unit cell a=5.2819 b=5.2819 c=5.2819 alpha=90.00 beta=90.00 gamma=90.00
With the nearest neighbours (Å) after each atom.
Space group Pm-3m (No. 221)
Asymmetric unit:
Nb 0.0000 0.0000 0.0000 x1  6 Zn 2.64
Zn 0.0000 0.0000 0.5000 x3  2 Nb 2.64
F 0.5000 0.5000 0.5000 x1  12 Zn 3.73

[10]
A relaxed Nb2ZnF crystal, computed with PBE.

ΔE_f (raw) = -4 kJ/mol of formula units
energy above the most stable polymorph in this dataset = 69 meV/atom
magnetization = 0.00 μB/cell
calculated volume = 17.0 A^3/atom
raw total energy = -5.832 eV per atom

Unit cell a=3.8036 b=3.8036 c=18.8126 alpha=90.00 beta=90.00 gamma=90.00
With the nearest neighbours (Å) after each atom.
Space group I-42d (No. 122)
Asymmetric unit:
Nb 0.2468 0.2500 0.1250 x8  4 Nb 2.67-2.71, 2 Zn 2.70, 2 F 2.71
Zn 0.0000 0.0000 0.0000 x4  4 F 2.69, 4 Nb 2.70
F 0.0000 0.0000 0.5000 x4  4 Zn 2.69, 4 Nb 2.71

[11]
A relaxed NbZnF3 crystal, computed with PBE.

ΔE_f (raw) = -531 kJ/mol of formula units
energy above the most stable polymorph in this dataset = 658 meV/atom
magnetization = 3.84 μB/cell
calculated volume = 14.2 A^3/atom
raw total energy = -4.492 eV per atom

Unit cell a=4.1361 b=4.1361 c=4.1361 alpha=90.00 beta=90.00 gamma=90.00
With the nearest neighbours (Å) after each atom.
Space group Pm-3m (No. 221)
Asymmetric unit:
Nb 0.0000 0.0000 0.0000 x1  12 F 2.92
Zn 0.5000 0.5000 0.5000 x1  6 F 2.07
F 0.0000 0.5000 0.5000 x3  2 Zn 2.07

[12]
A relaxed NbZnF crystal, computed with PBE.

ΔE_f (raw) = -307 kJ/mol of formula units
magnetization = 0.00 μB/cell
calculated volume = 15.7 A^3/atom
raw total energy = -5.466 eV per atom

Unit cell a=13.2322 b=2.8237 c=5.0337 alpha=90.00 beta=90.00 gamma=90.00
With the nearest neighbours (Å) after each atom.
Space group Amm2 (No. 38)
Asymmetric unit:
Nb 0.1758 0.0000 0.0000 x4  3 F 2.26-2.27
Zn 0.0000 0.0000 0.3319 x2  6 Zn 2.82-2.89, 6 Nb 2.85-2.86
Zn 0.5000 0.0000 0.6713 x2  2 F 2.74, 6 Zn 2.82-2.89
F 0.2926 0.0000 0.6731 x4  3 Nb 2.26-2.27

[13]
A relaxed Zr2NbF crystal, computed with PBE.

ΔE_f (raw) = -39 kJ/mol of formula units
energy above the most stable polymorph in this dataset = 402 meV/atom
magnetization = 0.00 μB/cell
calculated volume = 18.6 A^3/atom
raw total energy = -7.361 eV per atom

Unit cell a=6.6810 b=6.6810 c=6.6810 alpha=90.00 beta=90.00 gamma=90.00
With the nearest neighbours (Å) after each atom.
Space group Fm-3m (No. 225)
Asymmetric unit:
Zr 0.2500 0.2500 0.2500 x8  4 F 2.89, 4 Nb 2.89
Nb 0.0000 0.0000 0.0000 x4  8 Zr 2.89
F 0.0000 0.0000 0.5000 x4  8 Zr 2.89

[14]
A relaxed ZrNbF3 crystal, computed with PBE.

ΔE_f (raw) = -549 kJ/mol of formula units
energy above the most stable polymorph in this dataset = 240 meV/atom
magnetization = 5.73 μB/cell
calculated volume = 16.8 A^3/atom
raw total energy = -5.984 eV per atom

Unit cell a=4.3804 b=4.3804 c=4.3804 alpha=90.00 beta=90.00 gamma=90.00
With the nearest neighbours (Å) after each atom.
Space group Pm-3m (No. 221)
Asymmetric unit:
Zr 0.0000 0.0000 0.0000 x1  12 F 3.10
Nb 0.5000 0.5000 0.5000 x1  6 F 2.19
F 0.0000 0.5000 0.5000 x3  2 Nb 2.19

[15]
A relaxed ZrNbF3 crystal, computed with PBE.

ΔE_f (raw) = -665 kJ/mol of formula units
energy above the most stable polymorph in this dataset = 0 meV/atom
magnetization = 5.76 μB/cell
calculated volume = 16.8 A^3/atom
raw total energy = -6.224 eV per atom

Unit cell a=4.3837 b=4.3837 c=4.3837 alpha=90.00 beta=90.00 gamma=90.00
With the nearest neighbours (Å) after each atom.
Space group Pm-3m (No. 221)
Asymmetric unit:
Zr 0.0000 0.0000 0.0000 x1  6 F 2.19
Nb 0.5000 0.5000 0.5000 x1  12 F 3.10
F 0.0000 0.0000 0.5000 x3  2 Zr 2.19

[16]
A relaxed ZrNb2F crystal, computed with PBE.

ΔE_f (raw) = 131 kJ/mol of formula units
energy above the most stable polymorph in this dataset = 13 meV/atom
magnetization = 0.00 μB/cell
calculated volume = 17.6 A^3/atom
raw total energy = -7.301 eV per atom

Unit cell a=6.5502 b=6.5502 c=6.5502 alpha=90.00 beta=90.00 gamma=90.00
With the nearest neighbours (Å) after each atom.
Space group Fm-3m (No. 225)
Asymmetric unit:
Zr 0.0000 0.0000 0.0000 x4  8 Nb 2.84
Nb 0.2500 0.2500 0.2500 x8  4 Zr 2.84, 4 F 2.84
F 0.0000 0.0000 0.5000 x4  8 Nb 2.84

[17]
A relaxed ZrNbF2 crystal, computed with PBE.

ΔE_f (raw) = -617 kJ/mol of formula units
energy above the most stable polymorph in this dataset = 0 meV/atom
magnetization = 0.00 μB/cell
calculated volume = 14.5 A^3/atom
raw total energy = -7.190 eV per atom

Unit cell a=2.9026 b=2.9026 c=23.7953 alpha=90.00 beta=90.00 gamma=120.00
With the nearest neighbours (Å) after each atom.
Space group R-3m (No. 166, hexagonal axes)
Asymmetric unit:
Zr 0.0000 0.0000 0.0000 x3  6 F 2.35
Nb 0.0000 0.0000 0.5000 x3  2 F 2.32
F 0.0000 0.0000 0.4026 x6  1 Nb 2.32, 3 Zr 2.35

[18]
A relaxed ZrNb2F crystal, computed with PBE.

ΔE_f (raw) = 126 kJ/mol of formula units
energy above the most stable polymorph in this dataset = 0 meV/atom
magnetization = 0.00 μB/cell
calculated volume = 21.5 A^3/atom
raw total energy = -7.314 eV per atom

Unit cell a=5.2216 b=5.2216 c=12.6253 alpha=90.00 beta=90.00 gamma=90.00
With the nearest neighbours (Å) after each atom.
Space group I-42d (No. 122)
Asymmetric unit:
Zr 0.0000 0.0000 0.0000 x4  4 Nb 3.10
Nb 0.0545 0.2500 0.6250 x8  2 F 2.07
F 0.0000 0.0000 0.5000 x4  4 Nb 2.07

[19]
A relaxed ZrNbF2 crystal, computed with PBE.

ΔE_f (raw) = -256 kJ/mol of formula units
energy above the most stable polymorph in this dataset = 937 meV/atom
magnetization = 0.00 μB/cell
calculated volume = 14.5 A^3/atom
raw total energy = -6.254 eV per atom

Unit cell a=6.1497 b=6.1497 c=6.1497 alpha=90.00 beta=90.00 gamma=90.00
With the nearest neighbours (Å) after each atom.
Space group Fm-3m (No. 225)
Asymmetric unit:
Zr 0.0000 0.0000 0.0000 x4  8 F 2.66
Nb 0.0000 0.0000 0.5000 x4  8 F 2.66
F 0.2500 0.2500 0.2500 x8  4 Zr 2.66, 4 Nb 2.66

[20]
A relaxed Zr2NbF crystal, computed with PBE.

ΔE_f (raw) = -195 kJ/mol of formula units
energy above the most stable polymorph in this dataset = 0 meV/atom
magnetization = 0.00 μB/cell
calculated volume = 19.1 A^3/atom
raw total energy = -7.763 eV per atom

Unit cell a=6.8364 b=6.8364 c=6.5384 alpha=90.00 beta=90.00 gamma=90.00
With the nearest neighbours (Å) after each atom.
Space group I-42d (No. 122)
Asymmetric unit:
Zr 0.1754 0.2500 0.1250 x8  2 F 2.24
Nb 0.0000 0.0000 0.5000 x4  8 Zr 2.92-3.22
F 0.0000 0.0000 0.0000 x4  4 Zr 2.24